No. 1
SiH4Br | the Alexandria database | PBE | optimized geometry; energy = -3.294 eV per atom; M_tot = 0.00 μB/atom
1.0
3.176 -7.619 0.000
3.176 7.619 0.000
-2.721 0.000 4.037
Si H Br
2 8 2
direct
0.140 0.860 0.750
0.860 0.140 0.250
0.086 0.697 0.447
0.126 0.277 0.281
0.277 0.126 0.781
0.303 0.914 0.053
0.697 0.086 0.947
0.723 0.874 0.219
0.874 0.723 0.719
0.914 0.303 0.553
0.398 0.602 0.250
0.602 0.398 0.750

---

No. 2
PaGePt2 | the Alexandria database | PBE | optimized geometry; energy = -7.348 eV per atom; M_tot = 0.00 μB/atom
1.0
4.498 0.000 0.000
0.000 6.369 0.000
0.000 0.000 5.318
Pa Ge Pt
2 2 4
direct
0.250 0.250 0.157
0.750 0.750 0.843
0.250 0.750 0.265
0.750 0.250 0.735
0.250 0.016 0.671
0.250 0.484 0.671
0.750 0.516 0.329
0.750 0.984 0.329

---

No. 3
Li2InMo | the Alexandria database | PBE | optimized geometry; energy = -4.060 eV per atom; M_tot = 0.05 μB/atom
1.0
5.357 -1.358 0.000
5.357 1.358 0.000
-2.355 0.000 4.789
Li In Mo
2 1 1
direct
0.000 0.000 0.000
0.243 0.243 0.942
0.745 0.745 0.448
0.491 0.491 0.492

---

No. 4
ReRu2Pt | the Alexandria database | PBE | optimized geometry; M_tot = 0.00 μB/atom; excess energy over the best structure of this formula in the dataset = 73 meV per atom
1.0
1.374 0.793 8.937
-1.374 0.793 8.937
0.000 -1.586 8.937
Re Ru Pt
1 2 1
direct
0.000 0.000 0.000
0.253 0.253 0.253
0.506 0.506 0.506
0.753 0.753 0.753

---

No. 5
Pr2Ho4Sn3O2 | the Alexandria database | PBE | optimized geometry; energy = -6.068 eV per atom; M_tot = 0.00 μB/atom
1.0
-2.329 2.329 12.771
2.329 -2.329 12.771
2.329 2.329 -12.771
Pr Ho Sn O
2 4 3 2
direct
0.195 0.195 0.000
0.805 0.805 0.000
0.081 0.581 0.500
0.419 0.919 0.500
0.581 0.081 0.500
0.919 0.419 0.500
0.327 0.327 0.000
0.500 0.500 0.000
0.673 0.673 0.000
0.091 0.091 0.000
0.909 0.909 0.000

---

No. 6
K2TmSe2O6 | the Alexandria database | PBE | optimized geometry; energy = -5.540 eV per atom; M_tot = 0.00 μB/atom
1.0
4.632 -3.094 0.000
4.632 3.094 0.000
-2.594 0.000 6.653
K Tm Se O
2 1 2 6
direct
0.199 0.199 0.141
0.801 0.801 0.859
0.000 0.000 0.500
0.423 0.423 0.759
0.577 0.577 0.241
0.223 0.733 0.257
0.255 0.255 0.549
0.267 0.777 0.743
0.733 0.223 0.257
0.745 0.745 0.451
0.777 0.267 0.743

---

No. 7
SrC3N | the Alexandria database | PBE | optimized geometry; M_tot = 0.06 μB/atom; excess energy over the best structure of this formula in the dataset = 1986 meV per atom
1.0
4.723 0.000 0.000
0.000 4.723 0.000
0.000 0.000 4.723
Sr C N
1 3 1
direct
0.000 0.000 0.000
0.000 0.000 0.500
0.000 0.500 0.000
0.500 0.000 0.000
0.500 0.500 0.500

---

No. 8
NbCuIr3 | the Alexandria database | PBE | optimized geometry; M_tot = 0.00 μB/atom; excess energy over the best structure of this formula in the dataset = 0 meV per atom
1.0
4.420 0.000 0.000
0.000 4.420 0.000
0.000 0.000 4.420
Nb Cu Ir
1 1 3
direct
0.000 0.000 0.000
0.500 0.500 0.500
0.000 0.500 0.500
0.500 0.000 0.500
0.500 0.500 0.000

---

No. 9
BaP2PbO | the Alexandria database | PBE | optimized geometry; M_tot = 0.44 μB/atom; excess energy over the best structure of this formula in the dataset = 650 meV per atom
1.0
5.894 0.000 0.000
0.000 5.894 0.000
0.000 0.000 4.409
Ba P Pb O
1 2 1 1
direct
0.000 0.000 0.000
0.000 0.500 0.000
0.500 0.000 0.000
0.500 0.500 0.500
0.000 0.000 0.500

---

No. 10
LiTl2Ag | the Alexandria database | PBE | optimized geometry; M_tot = 0.00 μB/atom; excess energy over the best structure of this formula in the dataset = 53 meV per atom
1.0
1.696 0.979 9.227
-1.696 0.979 9.227
0.000 -1.958 9.227
Li Tl Ag
1 2 1
direct
0.000 0.000 0.000
0.252 0.252 0.252
0.416 0.416 0.416
0.834 0.834 0.834

---

No. 11
Na2LiInCl4 | the Alexandria database | PBE | optimized geometry; energy = -3.372 eV per atom; M_tot = 0.00 μB/atom
1.0
2.037 -6.986 0.000
2.037 6.986 0.000
0.000 0.000 14.078
Na Li In Cl
4 2 2 8
direct
0.128 0.872 0.547
0.128 0.872 0.953
0.872 0.128 0.047
0.872 0.128 0.453
0.343 0.657 0.250
0.657 0.343 0.750
0.383 0.617 0.750
0.617 0.383 0.250
0.070 0.930 0.750
0.241 0.759 0.118
0.241 0.759 0.382
0.500 0.500 0.000
0.500 0.500 0.500
0.759 0.241 0.618
0.759 0.241 0.882
0.930 0.070 0.250